Below is a relaxed PaNiHgO6 crystal, with properties calculated at the GGA+U level.

## Properties
Raw total energy   -6.05 eV per atom

Lattice parameters (Å, degrees): 4.773 5.347 5.347 120.00 90.00 90.00
Element x y z (fractional)
Pa 0.000 0.333 0.667
Ni 0.500 0.000 0.000
Hg 0.500 0.667 0.333
O 0.741 0.677 0.684
O 0.741 0.316 0.993
O 0.741 0.007 0.323
O 0.259 0.316 0.323
O 0.259 0.677 0.993
O 0.259 0.007 0.684